# GGA-PBE NdEuAsCl, relaxed
data_NdEuAsCl
_chemical_formula_sum 'Nd4 Eu4 As4 Cl4'
_space_group_name_H-M_alt 'F -4 3 m'
_space_group_IT_number 216
_space_group_name_Hall 'F -4 2 3'
_cell_length_a 7.3362
_cell_length_b 7.3362
_cell_length_c 7.3362
_cell_angle_alpha 90.00
_cell_angle_beta 90.00
_cell_angle_gamma 90.00
loop_
_atom_site_label
_atom_site_type_symbol
_atom_site_fract_x
_atom_site_fract_y
_atom_site_fract_z
_atom_site_occupancy
Nd1 Nd 0.0000 0.0000 0.0000 1
Eu1 Eu 0.0000 0.0000 0.5000 1
As1 As 0.2500 0.2500 0.7500 1
Cl1 Cl 0.2500 0.2500 0.2500 1
# Crystal system: cubic
# Mass density: 6.84 g cm⁻³
# Formation energy (no corrections): -5.53 eV per formula unit